[1]
The following is a PBE calculation of a relaxed structure of Pu2U2Ge, from Alexandria.

## Properties
volume = 102.2 Å³/f.u.
total DFT energy (no corrections) = -11.1784 eV/atom
magnetization = 1.6019 μB/atom
energy of formation from the pure elements = -7 meV/atom
symmetry = C2/m

Unit cell a=6.004 b=6.004 c=8.397 alpha=108.09 beta=108.09 gamma=45.84
Element x y z (fractional)
Pu (0.060, 0.060, 0.355)
Pu (0.242, 0.242, 0.784)
Pu (0.758, 0.758, 0.216)
Pu (0.940, 0.940, 0.645)
U (0.130, 0.130, 0.103)
U (0.379, 0.379, 0.494)
U (0.621, 0.621, 0.506)
U (0.870, 0.870, 0.897)
Ge (0.422, 0.422, 0.149)
Ge (0.578, 0.578, 0.851)



[2]
The following is a PBE calculation of a relaxed structure of Pr3Ga3Hg2, from Alexandria.

## Properties
volume = 200.3 Å³/f.u.
total DFT energy (no corrections) = -3.5417 eV/atom
magnetization = 0.0547 μB/atom
energy of formation from the pure elements = -539 meV/atom
symmetry = Cmcm

Unit cell a=6.121 b=6.121 c=15.276 alpha=90.00 beta=90.00 gamma=135.60
Element x y z (fractional)
Pr (0.082, 0.918, 0.613)
Pr (0.082, 0.918, 0.887)
Pr (0.354, 0.646, 0.750)
Pr (0.646, 0.354, 0.250)
Pr (0.918, 0.082, 0.113)
Pr (0.918, 0.082, 0.387)
Ga (0.360, 0.640, 0.250)
Ga (0.401, 0.599, 0.543)
Ga (0.401, 0.599, 0.957)
Ga (0.599, 0.401, 0.043)
Ga (0.599, 0.401, 0.457)
Ga (0.640, 0.360, 0.750)
Hg (0.212, 0.788, 0.095)
Hg (0.212, 0.788, 0.405)
Hg (0.788, 0.212, 0.595)
Hg (0.788, 0.212, 0.905)



[3]
The following is a PBE calculation of a relaxed structure of Sr5Pb4, from Alexandria.

## Properties
offset from the most stable computed form = 40 meV/atom
volume = 328.7 Å³/f.u.
total DFT energy (no corrections) = -3.0720 eV/atom
magnetization = 0.0000 μB/atom
energy of formation from the pure elements = -489 meV/atom
symmetry = P6_3/mcm

Unit cell a=10.079 b=10.079 c=7.474 alpha=90.00 beta=90.00 gamma=120.00
Element x y z (fractional)
Sr (0.000, 0.288, 0.250)
Sr (0.000, 0.712, 0.750)
Sr (0.288, 0.000, 0.250)
Sr (0.288, 0.288, 0.750)
Sr (0.333, 0.667, 0.000)
Sr (0.333, 0.667, 0.500)
Sr (0.667, 0.333, 0.000)
Sr (0.667, 0.333, 0.500)
Sr (0.712, 0.000, 0.750)
Sr (0.712, 0.712, 0.250)
Pb (0.000, 0.000, 0.000)
Pb (0.000, 0.000, 0.500)
Pb (0.000, 0.372, 0.750)
Pb (0.000, 0.628, 0.250)
Pb (0.372, 0.000, 0.750)
Pb (0.372, 0.372, 0.250)
Pb (0.628, 0.000, 0.250)
Pb (0.628, 0.628, 0.750)



[4]
The following is a PBE calculation of a relaxed structure of Ac2PuPd9, from Alexandria.

## Properties
offset from the most stable computed form = 82 meV/atom
volume = 240.2 Å³/f.u.
total DFT energy (no corrections) = -6.3596 eV/atom
magnetization = 0.4547 μB/atom
energy of formation from the pure elements = -586 meV/atom
symmetry = R-3m

Unit cell a=9.736 b=9.736 c=9.736 alpha=32.75 beta=32.75 gamma=32.75
Element x y z (fractional)
Ac (0.136, 0.136, 0.136)
Ac (0.864, 0.864, 0.864)
Pu (0.000, 0.000, 0.000)
Pd (0.081, 0.583, 0.583)
Pd (0.333, 0.333, 0.333)
Pd (0.417, 0.417, 0.919)
Pd (0.417, 0.919, 0.417)
Pd (0.500, 0.500, 0.500)
Pd (0.583, 0.081, 0.583)
Pd (0.583, 0.583, 0.081)
Pd (0.667, 0.667, 0.667)
Pd (0.919, 0.417, 0.417)



[5]
The following is a PBE calculation of a relaxed structure of TaSb2W, from Alexandria.

## Properties
offset from the most stable computed form = 591 meV/atom
volume = 80.1 Å³/f.u.
total DFT energy (no corrections) = -7.5536 eV/atom
magnetization = 0.0000 μB/atom
symmetry = C2/m
raw formation energy = 0.709 eV/atom

Unit cell a=5.445 b=5.445 c=3.133 alpha=102.15 beta=102.15 gamma=111.57
Element x y z (fractional)
Ta (0.000, 0.000, 0.000)
Sb (0.000, 0.500, 0.500)
Sb (0.500, 0.000, 0.500)
W (0.500, 0.500, 0.000)



[6]
The following is a PBE calculation of a relaxed structure of KSc2NbGa, from Alexandria.

## Properties
volume = 111.2 Å³/f.u.
total DFT energy (no corrections) = -3.7441 eV/atom
magnetization = 0.0000 μB/atom
energy of formation from the pure elements = 1627 meV/atom
symmetry = P4/mmm

Unit cell a=4.648 b=4.648 c=5.149 alpha=90.00 beta=90.00 gamma=90.00
Element x y z (fractional)
K (0.000, 0.000, 0.000)
Sc (0.000, 0.500, 0.000)
Sc (0.500, 0.000, 0.000)
Nb (0.500, 0.500, 0.500)
Ga (0.000, 0.000, 0.500)